# LaCrP3 (PBEsol, relaxed)
data_LaCrP3
_symmetry_space_group_name_H-M 'P m -3 m'
_symmetry_Int_Tables_number 221
_symmetry_space_group_name_Hall '-P 4 2 3'
_cell_length_a 5.253
_cell_length_b 5.253
_cell_length_c 5.253
_cell_angle_alpha 90.00
_cell_angle_beta 90.00
_cell_angle_gamma 90.00
loop_
_atom_site_label
_atom_site_type_symbol
_atom_site_fract_x
_atom_site_fract_y
_atom_site_fract_z
La1 La 0.000 0.000 0.000
Cr1 Cr 0.500 0.500 0.500
P1 P 0.000 0.000 0.500
# N(E_F)	7.24	states/eV/cell
# energy above the most stable polymorph in this dataset	1772	meV/atom



# LaCrP2 (PBEsol, relaxed)
data_LaCrP2
_symmetry_space_group_name_H-M 'I m m 2'
_symmetry_Int_Tables_number 44
_cell_length_a 3.163
_cell_length_b 3.430
_cell_length_c 13.133
_cell_angle_alpha 90.00
_cell_angle_beta 90.00
_cell_angle_gamma 90.00
loop_
_symmetry_equiv_pos_as_xyz
'x,y,z'
'-x,-y,z'
'-x,y,z'
'x,-y,z'
'x+1/2,y+1/2,z+1/2'
'-x+1/2,-y+1/2,z+1/2'
'-x+1/2,y+1/2,z+1/2'
'x+1/2,-y+1/2,z+1/2'
loop_
_atom_site_label
_atom_site_type_symbol
_atom_site_fract_x
_atom_site_fract_y
_atom_site_fract_z
La1 La 0.000 0.000 0.000
Cr1 Cr 0.000 0.500 0.252
P1 P 0.000 0.000 0.628
P2 P 0.000 0.500 0.818
# N(E_F)	5.84	states/eV/cell
# energy above the most stable polymorph in this dataset	0	meV/atom



# LaCrP2 (PBEsol, relaxed)
data_LaCrP2
_symmetry_space_group_name_H-M 'F -4 3 m'
_symmetry_Int_Tables_number 216
_symmetry_space_group_name_Hall 'F -4 2 3'
_cell_length_a 6.624
_cell_length_b 6.624
_cell_length_c 6.624
_cell_angle_alpha 90.00
_cell_angle_beta 90.00
_cell_angle_gamma 90.00
loop_
_atom_site_label
_atom_site_type_symbol
_atom_site_fract_x
_atom_site_fract_y
_atom_site_fract_z
La1 La 0.000 0.000 0.000
Cr1 Cr 0.250 0.250 0.250
P1 P 0.000 0.000 0.500
P2 P 0.250 0.250 0.750
# N(E_F)	14.12	states/eV/cell
# energy above the most stable polymorph in this dataset	641	meV/atom



# LaCr2P (PBEsol, relaxed)
data_LaCr2P
_symmetry_space_group_name_H-M 'R 3 m'
_symmetry_Int_Tables_number 160
_symmetry_space_group_name_Hall 'R 3 -2"'
_cell_length_a 3.9426
_cell_length_b 3.9426
_cell_length_c 15.8192
_cell_angle_alpha 90.00
_cell_angle_beta 90.00
_cell_angle_gamma 120.00
loop_
_atom_site_label
_atom_site_type_symbol
_atom_site_fract_x
_atom_site_fract_y
_atom_site_fract_z
La1 La 0.0000 0.0000 0.0000
Cr1 Cr 0.0000 0.0000 0.4982
Cr2 Cr 0.0000 0.0000 0.8004
P1 P 0.0000 0.0000 0.1958
# N(E_F)	8.91	states/eV/cell
# E	-8.287	eV/atom



# LaCr3P (PBEsol, relaxed)
data_LaCr3P
_symmetry_space_group_name_H-M 'P m -3 m'
_symmetry_Int_Tables_number 221
_symmetry_space_group_name_Hall '-P 4 2 3'
_cell_length_a 4.562
_cell_length_b 4.562
_cell_length_c 4.562
_cell_angle_alpha 90.00
_cell_angle_beta 90.00
_cell_angle_gamma 90.00
loop_
_atom_site_label
_atom_site_type_symbol
_atom_site_fract_x
_atom_site_fract_y
_atom_site_fract_z
La1 La 0.000 0.000 0.000
Cr1 Cr 0.000 0.000 0.500
P1 P 0.500 0.500 0.500
# N(E_F)	7.24	states/eV/cell
# E	-6.185	eV/atom



# LaCrP3 (PBEsol, relaxed)
data_LaCrP3
_symmetry_space_group_name_H-M 'P m -3 m'
_symmetry_Int_Tables_number 221
_symmetry_space_group_name_Hall '-P 4 2 3'
_cell_length_a 4.484
_cell_length_b 4.484
_cell_length_c 4.484
_cell_angle_alpha 90.00
_cell_angle_beta 90.00
_cell_angle_gamma 90.00
loop_
_atom_site_label
_atom_site_type_symbol
_atom_site_fract_x
_atom_site_fract_y
_atom_site_fract_z
La1 La 0.000 0.000 0.000
Cr1 Cr 0.500 0.500 0.500
P1 P 0.000 0.500 0.500
# N(E_F)	3.89	states/eV/cell
# energy above the most stable polymorph in this dataset	0	meV/atom



# La2CrPb (PBEsol, relaxed)
data_La2CrPb
_symmetry_space_group_name_H-M 'I -4 m 2'
_symmetry_Int_Tables_number 119
_symmetry_space_group_name_Hall 'I -4 -2'
_cell_length_a 4.655
_cell_length_b 4.655
_cell_length_c 9.880
_cell_angle_alpha 90.00
_cell_angle_beta 90.00
_cell_angle_gamma 90.00
loop_
_atom_site_label
_atom_site_type_symbol
_atom_site_fract_x
_atom_site_fract_y
_atom_site_fract_z
La1 La 0.000 0.000 0.000
La2 La 0.000 0.500 0.250
Cr1 Cr 0.000 0.500 0.750
Pb1 Pb 0.000 0.000 0.500
# N(E_F)	6.67	states/eV/cell
# E	-6.175	eV/atom



# LaCr2Pb (PBEsol, relaxed)
data_LaCr2Pb
_symmetry_space_group_name_H-M 'F -4 3 m'
_symmetry_Int_Tables_number 216
_symmetry_space_group_name_Hall 'F -4 2 3'
_cell_length_a 7.152
_cell_length_b 7.152
_cell_length_c 7.152
_cell_angle_alpha 90.00
_cell_angle_beta 90.00
_cell_angle_gamma 90.00
loop_
_atom_site_label
_atom_site_type_symbol
_atom_site_fract_x
_atom_site_fract_y
_atom_site_fract_z
La1 La 0.000 0.000 0.000
Cr1 Cr 0.000 0.000 0.500
Cr2 Cr 0.250 0.250 0.750
Pb1 Pb 0.250 0.250 0.250
# N(E_F)	10.25	states/eV/cell
# E	-6.817	eV/atom